Al2AsRu PBE optimized geometry; SG = P4mm (99); energy = -5.551 eV per atom; formation energy from the elements = -0.1987 eV per atom
1.0
2.959 0.000 0.000
0.000 2.959 0.000
0.000 0.000 7.415
Al As Ru
2 1 1
direct
0.000 0.000 0.000
0.500 0.500 0.268
0.000 0.000 0.582
0.500 0.500 0.782

TlSb2Se PBE optimized geometry; energy relative to the elements, uncorrected = 0.17 eV/atom; excess energy over the best structure of this formula in the dataset = 0.274 eV/atom; SG = Cmmm (65); energy = -3.357 eV per atom
1.0
1.823 -2.942 0.000
1.823 2.942 0.000
0.000 0.000 10.214
Tl Sb Se
1 2 1
direct
0.000 0.000 0.000
0.500 0.500 0.284
0.500 0.500 0.716
0.000 0.000 0.500

Hf3ScPt12 PBE optimized geometry; SG = P4/mmm (123); energy = -7.907 eV per atom; formation energy from the elements = -1.1139 eV per atom
1.0
4.023 0.000 0.000
0.000 4.023 0.000
0.000 0.000 16.133
Hf Sc Pt
3 1 12
direct
0.000 0.000 0.000
0.000 0.000 0.253
0.000 0.000 0.747
0.000 0.000 0.500
0.000 0.500 0.125
0.000 0.500 0.374
0.000 0.500 0.626
0.000 0.500 0.875
0.500 0.000 0.125
0.500 0.000 0.374
0.500 0.000 0.626
0.500 0.000 0.875
0.500 0.500 0.000
0.500 0.500 0.249
0.500 0.500 0.500
0.500 0.500 0.751

InSb2Se4Br PBE optimized geometry; energy relative to the elements, uncorrected = -0.42 eV/atom; SG = C2/m (12); energy = -3.741 eV per atom
1.0
10.764 -2.029 0.000
10.764 2.029 0.000
-6.278 0.000 10.776
In Sb Se Br
2 4 8 2
direct
0.164 0.164 0.436
0.836 0.836 0.564
0.207 0.207 0.092
0.452 0.452 0.219
0.548 0.548 0.781
0.793 0.793 0.908
0.036 0.036 0.211
0.178 0.178 0.860
0.288 0.288 0.655
0.398 0.398 0.975
0.602 0.602 0.025
0.712 0.712 0.345
0.822 0.822 0.140
0.964 0.964 0.789
0.396 0.396 0.477
0.604 0.604 0.523

Nd2CuO PBE optimized geometry; energy relative to the elements, uncorrected = -0.83 eV/atom; SG = R-3m (166); energy = -5.474 eV per atom
1.0
1.810 1.045 8.319
-1.810 1.045 8.319
0.000 -2.090 8.319
Nd Cu O
2 1 1
direct
0.112 0.112 0.112
0.888 0.888 0.888
0.000 0.000 0.000
0.500 0.500 0.500

SmY2Tm PBE optimized geometry; excess energy over the best structure of this formula in the dataset = 0.003 eV/atom; SG = P1 (1); energy = -5.520 eV per atom; formation energy from the elements = 0.0094 eV per atom
1.0
3.644 0.000 0.000
0.000 6.290 0.000
1.822 3.144 5.673
Sm Y Tm
1 2 1
direct
0.000 0.000 0.000
0.247 0.912 0.504
0.496 0.495 0.007
0.747 0.414 0.504

NaYPt2 PBE optimized geometry; SG = P4/mmm (123); energy = -5.702 eV per atom; formation energy from the elements = -0.7358 eV per atom
1.0
3.603 0.000 0.000
0.000 3.603 0.000
0.000 0.000 6.042
Na Y Pt
1 1 2
direct
0.000 0.000 0.000
0.000 0.000 0.500
0.500 0.500 0.247
0.500 0.500 0.753

Ba2Os PBE optimized geometry; excess energy over the best structure of this formula in the dataset = 0.597 eV/atom; SG = P4/mmm (123); energy = -4.207 eV per atom; formation energy from the elements = 0.8182 eV per atom
1.0
5.467 0.000 0.000
0.000 5.467 0.000
0.000 0.000 3.652
Ba Os
2 1
direct
0.000 0.500 0.000
0.500 0.000 0.000
0.000 0.000 0.500